Here is an optimized crystal structure of BaPaPbO5 from Alexandria via LeMat-Bulk. Energies are from PBE.

Unit cell a=6.639 b=6.639 c=8.477 alpha=105.84 beta=105.84 gamma=105.91
Element x y z (fractional)
O1 0.054 0.946 0.250
O2 0.108 0.710 0.923
Pa1 0.000 0.000 0.500
O3 0.946 0.054 0.750
O4 0.254 0.333 0.602
O5 0.333 0.254 0.102
Pb1 0.314 0.686 0.750
Pb2 0.686 0.314 0.250
O6 0.746 0.667 0.398
O7 0.290 0.892 0.577
Ba1 0.682 0.318 0.750
O8 0.710 0.108 0.423
Pa2 0.000 0.000 0.000
O9 0.667 0.746 0.898
Ba2 0.318 0.682 0.250
O10 0.892 0.290 0.077

Results
SG: C2/c (15)
Formation energy from raw total energies (meV/atom): -2570
Mass density (g/cm³): 6.80